The following is a PBE-GGA calculation of a relaxed Ho2MgFe crystal, from Alexandria via LeMat-Bulk.

SG: P4/mmm (123)
energy of formation: -0.02 eV per atom
spin magnetization: 0.00 μB/cell

Cell: 3.317 3.317 8.352 Å, 90.00 90.00 90.00°
Fractional positions:
Ho 0.000 0.000 0.193
Ho 0.000 0.000 0.807
Mg 0.500 0.500 0.500
Fe 0.500 0.500 0.000